Model 1:
Material: MnVF2
Method: DFT, PBE with a Hubbard U
State: relaxed

```
MnVF2
1.0
1.720 0.993 6.408
-1.720 0.993 6.408
0.000 -1.986 6.408
Mn V F
1 1 2
direct
0.000 0.000 0.000 Mn
0.500 0.500 0.500 V
0.383 0.383 0.383 F
0.617 0.617 0.617 F
```

***

Model 2:
Material: MnVF2
Method: DFT, PBE with a Hubbard U
State: relaxed

```
MnVF2
1.0
0.000 2.971 2.971
2.971 0.000 2.971
2.971 2.971 0.000
Mn V F
1 1 2
direct
0.000 0.000 0.000 Mn
0.500 0.500 0.500 V
0.250 0.250 0.250 F
0.750 0.750 0.750 F
```

***

Model 3:
Material: MnVF2
Method: DFT, PBE with a Hubbard U
State: relaxed

```
MnVF2
1.0
-2.517 2.517 5.514
2.517 -2.517 5.514
2.517 2.517 -5.514
Mn V F
2 2 4
direct
0.000 0.000 0.000 Mn
0.750 0.250 0.500 Mn
0.250 0.750 0.500 V
0.500 0.500 0.000 V
0.129 0.625 0.004 F
0.375 0.379 0.504 F
0.621 0.125 0.996 F
0.875 0.871 0.496 F
```

***

It is model 1 that is the most stable of them.

***

Model 1:
Material: Mn2WF
Method: DFT, PBE with a Hubbard U
State: relaxed

```
Mn2WF
1.0
0.000 3.308 3.308
3.308 0.000 3.308
3.308 3.308 0.000
Mn W F
2 1 1
direct
0.250 0.250 0.250 Mn
0.750 0.750 0.750 Mn
0.000 0.000 0.000 W
0.500 0.500 0.500 F
```

***

Model 2:
Material: Mn2WF
Method: DFT, PBE with a Hubbard U
State: relaxed

```
Mn2WF
1.0
-3.406 3.406 3.064
3.406 -3.406 3.064
3.406 3.406 -3.064
Mn W F
4 2 2
direct
0.054 0.625 0.929 Mn
0.375 0.304 0.429 Mn
0.696 0.125 0.071 Mn
0.875 0.946 0.571 Mn
0.250 0.750 0.500 W
0.500 0.500 0.000 W
0.000 0.000 0.000 F
0.750 0.250 0.500 F
```

***

It is model 2 that is the most stable of them.

***

Model 1:
Material: MnWF2
Method: DFT, PBE with a Hubbard U
State: relaxed

```
MnWF2
1.0
-2.925 2.925 5.048
2.925 -2.925 5.048
2.925 2.925 -5.048
Mn W F
2 2 4
direct
0.000 0.000 0.000 Mn
0.750 0.250 0.500 Mn
0.250 0.750 0.500 W
0.500 0.500 0.000 W
0.375 0.236 0.361 F
0.764 0.125 0.139 F
0.875 0.014 0.639 F
0.986 0.625 0.861 F
```

***

Model 2:
Material: MnWF2
Method: DFT, PBE with a Hubbard U
State: relaxed

```
MnWF2
1.0
1.468 0.847 8.228
-1.468 0.847 8.228
0.000 -1.695 8.228
Mn W F
1 1 2
direct
0.000 0.000 0.000 Mn
0.500 0.500 0.500 W
0.101 0.101 0.101 F
0.899 0.899 0.899 F
```

***

It is model 1 that is the most stable of them.

***

Model 1:
Material: Mn3WF
Method: DFT, PBE with a Hubbard U
State: relaxed

```
Mn3WF
1.0
5.340 0.000 0.000
0.000 5.340 0.000
0.000 0.000 5.340
Mn W F
3 1 1
direct
0.000 0.000 0.500 Mn
0.000 0.500 0.000 Mn
0.500 0.000 0.000 Mn
0.000 0.000 0.000 W
0.500 0.500 0.500 F
```

***

Model 2:
Material: Mn3WF
Method: DFT, PBE with a Hubbard U
State: relaxed

```
Mn3WF
1.0
4.482 0.000 0.000
0.000 4.482 0.000
0.000 0.000 4.482
Mn W F
3 1 1
direct
0.000 0.000 0.500 Mn
0.000 0.500 0.000 Mn
0.500 0.000 0.000 Mn
0.500 0.500 0.500 W
0.000 0.000 0.000 F
```

***

It is model 2 that is the most stable of them.

***

Model 1:
Material: MnW2F
Method: DFT, PBE with a Hubbard U
State: relaxed

```
MnW2F
1.0
-3.179 3.179 2.905
3.179 -3.179 2.905
3.179 3.179 -2.905
Mn W F
2 4 2
direct
0.000 0.000 0.000 Mn
0.750 0.250 0.500 Mn
0.157 0.625 0.032 W
0.375 0.407 0.532 W
0.593 0.125 0.968 W
0.875 0.843 0.468 W
0.250 0.750 0.500 F
0.500 0.500 0.000 F
```

***

Model 2:
Material: MnW2F
Method: DFT, PBE with a Hubbard U
State: relaxed

```
MnW2F
1.0
0.000 3.278 3.278
3.278 0.000 3.278
3.278 3.278 0.000
Mn W F
1 2 1
direct
0.000 0.000 0.000 Mn
0.250 0.250 0.250 W
0.750 0.750 0.750 W
0.500 0.500 0.500 F
```

***

It is model 2 that is the most stable of them.

***

Model 1:
Material: MnZn3F6
Method: DFT, PBE with a Hubbard U
State: relaxed

```
MnZn3F6
1.0
5.004 0.000 0.000
0.776 5.352 0.000
0.220 2.179 5.615
Mn Zn F
1 3 6
direct
0.000 0.000 0.000 Mn
0.000 0.000 0.500 Zn
0.000 0.500 0.500 Zn
0.500 0.500 0.000 Zn
0.193 0.351 0.875 F
0.286 0.625 0.286 F
0.324 0.861 0.814 F
0.676 0.139 0.186 F
0.714 0.375 0.714 F
0.807 0.649 0.125 F
```

***

Model 2:
Material: MnZn3F6
Method: DFT, PBE with a Hubbard U
State: relaxed

```
MnZn3F6
1.0
4.990 0.000 0.000
1.240 5.064 0.000
0.085 0.009 6.187
Mn Zn F
1 3 6
direct
0.000 0.000 0.000 Mn
0.000 0.000 0.500 Zn
0.000 0.500 0.500 Zn
0.500 0.500 0.000 Zn
0.241 0.291 0.003 F
0.250 0.794 0.250 F
0.250 0.802 0.742 F
0.750 0.198 0.258 F
0.750 0.206 0.750 F
0.759 0.709 0.997 F
```

***

It is model 2 that is the most stable of them.